Below is a geometry-optimized Pm2FeHO6 structure, with properties calculated at the GGA+U level.

Values from the calculation:
raw total energy = -6.68 eV/atom
volume = 216 Å³/cell

Cell: 9.421 5.055 5.361 Å, 90.00 122.31 90.00°
Space group C2/m (No. 12)
One atom of each set of equivalent atoms:
Pm1 0.241 0.000 0.229 (multiplicity 4)
Fe1 0.000 0.000 0.500 (multiplicity 2)
H1 0.000 0.500 0.000 (multiplicity 2)
O1 0.041 0.258 0.798 (multiplicity 8)
O2 0.229 0.000 0.653 (multiplicity 4)